Entry 1:
SCAN Sr2NiW, PBEsol geometry; ΔE to the lowest computed polymorph = 2.24 eV per formula unit; density of states at the Fermi level = 2.3 states/eV/f.u.; size of the total moment = 4.0 μB per formula unit; VASP energy = -1.15178 Ha/atom
1.0
0.000 3.683 3.683
3.683 0.000 3.683
3.683 3.683 0.000
Sr Ni W
2 1 1
Direct
0.250 0.250 0.250
0.750 0.750 0.750
0.000 0.000 0.000
0.500 0.500 0.500


Entry 2:
SCAN LaWCl3, PBEsol geometry; size of the total moment = 6.0 μB per formula unit; VASP energy = -1.01958 Ha/atom; uncorrected formation energy = -399 meV/atom
1.0
5.491 0.000 0.000
0.000 5.491 0.000
0.000 0.000 5.491
La W Cl
1 1 3
Direct
0.000 0.000 0.000
0.500 0.500 0.500
0.000 0.000 0.500
0.000 0.500 0.000
0.500 0.000 0.000


Entry 3:
SCAN Sr3BRu, PBEsol geometry; density of states at the Fermi level = 3.2 states/eV/f.u.; size of the total moment = 2.6 μB per formula unit; VASP energy = -0.76838 Ha/atom
1.0
5.322 0.000 0.000
0.000 5.322 0.000
0.000 0.000 5.322
Sr B Ru
3 1 1
Direct
0.000 0.000 0.500
0.000 0.500 0.000
0.500 0.000 0.000
0.000 0.000 0.000
0.500 0.500 0.500


What is the formula in the second record?
LaWCl3


Among the records above, which one has the lowest VASP energy?
Sr2NiW


What is the formula in the third record?
Sr3BRu